This record from Alexandria describes a geometry-optimized Sc4CdPd7 structure. The functional is GGA-PBE.

Values from the calculation:
Its space group is No. 12. As for the crystal system: monoclinic. The total energy comes out at -5.8127 eV/atom.

Unit cell a=5.902 b=5.902 c=9.797 alpha=116.58 beta=116.58 gamma=50.15
Atoms (fractional coordinates):
Sc 0.092 0.092 0.281
Sc 0.273 0.273 0.852
Sc 0.727 0.727 0.148
Sc 0.908 0.908 0.719
Cd 0.500 0.500 0.500
Pd 0.000 0.000 0.500
Pd 0.135 0.135 0.025
Pd 0.288 0.288 0.592
Pd 0.428 0.428 0.175
Pd 0.572 0.572 0.825
Pd 0.712 0.712 0.408
Pd 0.865 0.865 0.975

---

This record from Alexandria describes a geometry-optimized Cs3Tl4Ga structure. The functional is GGA-PBE.

Values from the calculation:
Its space group is No. 44. As for the crystal system: orthorhombic. As for the offset from the most stable computed form: 20 meV/atom.

Unit cell a=8.004 b=8.004 c=8.004 alpha=127.00 beta=119.35 gamma=84.73
Atoms (fractional coordinates):
Cs 0.000 0.000 0.000
Cs 0.406 0.651 0.756
Cs 0.895 0.651 0.244
Tl 0.026 0.313 0.712
Tl 0.403 0.138 0.735
Tl 0.403 0.668 0.265
Tl 0.601 0.313 0.288
Ga 0.610 0.110 0.500